Entry 1:
{"formula": "Sm3Gd", "functional": "PBE", "state": "relaxed", "lattice": [[7.330, 0.000, 0.000], [-3.665, 6.348, 0.000], [0.000, 0.000, 5.824]], "species": ["Sm", "Sm", "Sm", "Sm", "Sm", "Sm", "Gd", "Gd"], "frac_coords": [[0.167, 0.333, 0.250], [0.167, 0.833, 0.250], [0.333, 0.167, 0.750], [0.667, 0.833, 0.250], [0.833, 0.167, 0.750], [0.833, 0.667, 0.750], [0.333, 0.667, 0.750], [0.667, 0.333, 0.250]], "relative_energy_mev_per_atom": 7.3, "spacegroup": "No. 194", "crystal_system": "hexagonal"}

=====

Entry 2:
{"formula": "Sm3Gd", "functional": "PBE", "state": "relaxed", "lattice": [[5.114, 0.000, 0.000], [0.000, 5.114, 0.000], [0.000, 0.000, 5.114]], "species": ["Sm", "Sm", "Sm", "Gd"], "frac_coords": [[0.000, 0.000, 0.500], [0.000, 0.500, 0.000], [0.500, 0.000, 0.000], [0.500, 0.500, 0.500]], "relative_energy_mev_per_atom": 0.1, "spacegroup": "No. 221", "crystal_system": "cubic"}

=====

Entry 3:
{"formula": "SmGdSn2", "functional": "PBE", "state": "relaxed", "lattice": [[4.935, 0.000, 0.000], [0.000, 4.935, 0.000], [0.000, 0.000, 4.499]], "species": ["Sm", "Gd", "Sn", "Sn"], "frac_coords": [[0.000, 0.000, 0.000], [0.500, 0.500, 0.000], [0.000, 0.500, 0.500], [0.500, 0.000, 0.500]], "relative_energy_mev_per_atom": 13.5, "spacegroup": "No. 123", "crystal_system": "tetragonal"}

=====

Entry 4:
{"formula": "SmGdSn2", "functional": "PBE", "state": "relaxed", "lattice": [[3.487, 0.000, 0.000], [0.000, 3.487, 0.000], [0.000, 0.000, 9.007]], "species": ["Sm", "Gd", "Sn", "Sn"], "frac_coords": [[0.000, 0.000, 0.000], [0.000, 0.000, 0.500], [0.500, 0.500, 0.251], [0.500, 0.500, 0.749]], "relative_energy_mev_per_atom": 0.0, "spacegroup": "No. 123", "crystal_system": "tetragonal"}

=====

Entry 5:
{"formula": "Sm2GdSn", "functional": "PBE", "state": "relaxed", "lattice": [[0.000, 3.881, 3.881], [3.881, 0.000, 3.881], [3.881, 3.881, 0.000]], "species": ["Sm", "Sm", "Gd", "Sn"], "frac_coords": [[0.250, 0.250, 0.250], [0.750, 0.750, 0.750], [0.000, 0.000, 0.000], [0.500, 0.500, 0.500]], "relative_energy_mev_per_atom": 160.3, "spacegroup": "No. 225", "crystal_system": "cubic"}

=====

Entry 6:
{"formula": "SmGdSn2", "functional": "PBE", "state": "relaxed", "lattice": [[2.016, 1.164, 8.687], [-2.016, 1.164, 8.687], [0.000, -2.327, 8.687]], "species": ["Sm", "Gd", "Sn", "Sn"], "frac_coords": [[0.000, 0.000, 0.000], [0.500, 0.500, 0.500], [0.249, 0.249, 0.249], [0.751, 0.751, 0.751]], "relative_energy_mev_per_atom": 142.4, "spacegroup": "No. 166", "crystal_system": "trigonal"}